Entry 1:
ThFe2Si2: optimized geometry, GGA-PBE.

## Properties
**Space-group type**: I4/mmm, No. 139
**E_form (uncorrected)**: -0.705 eV/atom
**E**: -7.7432 eV per atom
**Density**: 8.5 g/cm³
**Calculated volume**: 15.710 Å³ per atom

POSCAR file:
```
ThFe2Si2
1.0
5.5944 0.0021 0.0000
2.6730 4.9145 0.0000
-4.1337 -2.4583 2.8577
Si Fe Th
2 2 1
direct
0.3622 0.3622 0.0000
0.6378 0.6378 0.0000
0.7500 0.2500 0.5000
0.2500 0.7500 0.5000
0.0000 0.0000 0.0000
```

***

Entry 2:
Tl3CdF4: optimized geometry, GGA-PBE.

## Properties
**Space-group type**: Pmn2_1, No. 31
**E_form (uncorrected)**: -1.609 eV/atom
**E**: -3.5462 eV per atom
**Density**: 8.0 g/cm³
**Calculated volume**: 20.856 Å³ per atom

POSCAR file:
```
Tl3CdF4
1.0
-2.2765 5.3944 0.6852
-4.1408 -2.1851 3.4451
5.7068 1.4224 7.7613
Tl F Cd
6 8 2
direct
0.0038 0.3593 0.5000
0.5037 0.1945 0.2726
0.5038 0.6407 0.0000
0.0037 0.8055 0.2274
0.5037 0.1945 0.7274
0.0037 0.8055 0.7726
0.5015 0.7398 0.2637
0.7454 0.0045 0.5000
0.7534 0.0007 0.0000
0.2534 0.9993 0.5000
0.5015 0.7398 0.7363
0.2454 0.9955 0.0000
0.0015 0.2602 0.2363
0.0015 0.2602 0.7637
0.5024 0.6947 0.5000
0.0024 0.3053 0.0000
```

***

Entry 3:
HgBi3O: optimized geometry, GGA-PBE.

## Properties
**Space-group type**: Pm-3m, No. 221
**E_form (uncorrected)**: 1.156 eV/atom
**E**: -2.2245 eV per atom
**Density**: 7.6 g/cm³
**Calculated volume**: 36.782 Å³ per atom

POSCAR file:
```
HgBi3O
1.0
5.6868 0.0000 0.0000
0.0000 5.6868 0.0000
0.0000 0.0000 5.6868
Bi O Hg
3 1 1
direct
0.0000 0.5000 0.0000
0.0000 0.0000 0.5000
0.5000 0.0000 0.0000
0.5000 0.5000 0.5000
0.0000 0.0000 0.0000
```

***

Entry 4:
Pr5Cd4Au: optimized geometry, GGA-PBE.

## Properties
**Space-group type**: P4/mmm, No. 123
**E**: -3.4869 eV per atom
**Density**: 7.8 g/cm³
**DFT formation energy**: -4.0 eV/f.u.
**Calculated volume**: 28.611 Å³ per atom

POSCAR file:
```
Pr5Cd4Au
1.0
-1.5287 -0.8468 -3.4251
-0.9732 -3.4867 1.2964
-17.0672 6.9563 5.8977
Pr Cd Au
5 4 1
direct
0.5000 0.5000 0.9079
0.5000 0.5000 0.0921
0.5000 0.5000 0.7039
0.5000 0.5000 0.2961
0.5000 0.5000 0.5000
0.0000 0.0000 0.1975
0.0000 0.0000 0.8025
0.0000 0.0000 0.6021
0.0000 0.0000 0.3979
0.0000 0.0000 0.0000
```

***

Entry 5:
HfCo12B6: optimized geometry, GGA-PBE.

## Properties
**Space-group type**: R-3m, No. 166
**E**: -7.4068 eV per atom
**Density**: 8.6 g/cm³
**DFT formation energy**: -5.4 eV/f.u.
**Calculated volume**: 9.650 Å³ per atom

POSCAR file:
```
HfCo12B6
1.0
5.9105 0.0055 0.0077
-1.4598 5.7274 0.0077
-1.4598 -1.8804 5.4100
Co B Hf
12 6 1
direct
0.5000 0.1308 0.8692
0.5000 0.8692 0.1308
0.8692 0.5000 0.1308
0.5508 0.8163 0.5508
0.4492 0.1837 0.4492
0.1308 0.8692 0.5000
0.8163 0.5508 0.5508
0.4492 0.4492 0.1837
0.5508 0.5508 0.8163
0.8692 0.1308 0.5000
0.1837 0.4492 0.4492
0.1308 0.5000 0.8692
0.3122 0.7647 0.7647
0.7647 0.3122 0.7647
0.2353 0.2353 0.6878
0.2353 0.6878 0.2353
0.6878 0.2353 0.2353
0.7647 0.7647 0.3122
0.0000 0.0000 0.0000
```

***

Entry 6:
VPd2Rh: optimized geometry, GGA-PBE.

## Properties
**Space-group type**: Pmmn, No. 59
**E**: -6.9673 eV per atom
**Density**: 10.6 g/cm³
**DFT formation energy**: -1.0 eV/f.u.
**Calculated volume**: 14.416 Å³ per atom

POSCAR file:
```
VPd2Rh
1.0
4.3547 0.0000 0.0000
0.0000 5.4572 0.0000
0.0000 0.0000 4.8528
Rh V Pd
2 2 4
direct
0.7500 0.7500 0.8492
0.2500 0.2500 0.1508
0.2500 0.7500 0.1502
0.7500 0.2500 0.8498
0.2500 0.4996 0.6645
0.7500 0.9996 0.3355
0.2500 0.0004 0.6645
0.7500 0.5004 0.3355
```

***

Fermi-level density of states per entry: 3.81, 4.29, 13.44, 11.90, 15.35, 5.74 states/eV/cell